Here is GdGe4Rh6 after structural relaxation from Alexandria. Energies are from GGA-PBEsol.

The structure belongs to space group P-6m2 (No. 187); the cell edges are 7.1059, 7.1059 and 3.8067 Å and the angles 90.00°, 90.00° and 120.00°. The inequivalent atoms are Gd at (0.0000, 0.0000, 0.0000), Ge at (0.1973, 0.3946, 0.5000), Ge at (0.6667, 0.3333, 0.0000), Rh at (0.0666, 0.5333, 0.0000) and Rh at (0.3991, 0.1996, 0.5000).

The calculation puts the calculated volume at 166.5 Å³/cell. The value obtained for the calculated density is 10.63 Mg/m³. For the formation energy, the calculation gives -776 meV/atom. The total energy comes out at -8.32 eV/atom. The density of states at the Fermi level comes out at 0.38 states/eV/atom.